Record 1
4
Lattice="-1.951 1.996 -1.507 1.210 -0.920 -2.784 -5.131 -5.361 -0.458" Properties=species:S:1:pos:R:3 comment="PBE-GGA ScCd2Co, optimized geometry" final_energy_ev_per_atom=-3.928 n_ef_per_ev_cell=1.71 volume_a3_per_fu=74.8 formation_enthalpy_0k_kj_per_mol_atoms=-10.8 pbc="T T T"
Cd -0.001 -0.001 0.000
Cd -1.855 -1.012 -2.278
Co -2.634 -2.753 -0.235
Sc -3.947 -3.199 -2.465


Record 2
8
Lattice="-3.180 -0.294 -0.440 -0.218 -1.720 2.718 -2.342 13.152 8.134" Properties=species:S:1:pos:R:3 comment="PBE-GGA Sc4Cd3Co, optimized geometry" final_energy_ev_per_atom=-4.705 n_ef_per_ev_cell=5.40 volume_a3_per_fu=162.5 formation_enthalpy_0k_kj_per_mol_atoms=-29.7 pbc="T T T"
Sc -2.115 11.880 7.347
Sc -0.227 1.273 0.787
Sc -0.855 4.803 2.970
Sc -1.487 8.349 5.164
Co -1.699 -1.007 1.139
Cd -2.245 2.059 3.035
Cd -2.870 5.570 5.206
Cd -3.495 9.080 7.377


Record 3
5
Lattice="-2.434 1.653 1.413 1.378 -0.468 2.922 3.973 8.020 1.234" Properties=species:S:1:pos:R:3 comment="PBE-GGA ScCd2Co2, optimized geometry" final_energy_ev_per_atom=-4.274 n_ef_per_ev_cell=5.04 volume_a3_per_fu=93.1 formation_enthalpy_0k_kj_per_mol_atoms=19.4 pbc="T T T"
Sc 0.000 0.000 0.000
Co 0.505 5.133 2.407
Co 2.411 4.072 3.162
Cd 0.564 2.394 1.941
Cd 2.353 6.811 3.628